1.
# LiTaMo2

A relaxed structure of LiTaMo2 (PBE-GGA, Alexandria via LeMat-Bulk).

Output
- distance to the lowest polymorph of the same formula (eV/f.u.) = 0.22
- formation energy from the elements (kJ per mole of atoms) = 25.6

a = 5.491 Å, b = 9.106 Å, c = 2.659 Å
α = 90.00°, β = 106.67°, γ = 90.00°
Space group C2/m (No. 12)
Inequivalent atoms, fractional coordinates:
Li  0.000  0.000  0.000
Ta  0.000  0.500  0.000
Mo  0.250  0.250  0.500

---

2.
# Li2TaMo

A relaxed structure of Li2TaMo (PBE-GGA, Alexandria via LeMat-Bulk).

Output
- distance to the lowest polymorph of the same formula (eV/f.u.) = 0.65
- formation energy from the elements (kJ per mole of atoms) = 34.9

a = 2.652 Å, b = 5.076 Å, c = 4.953 Å
α = 90.00°, β = 99.14°, γ = 90.00°
Space group P2/m (No. 10)
Inequivalent atoms, fractional coordinates:
Li  0.242  0.000  0.258
Ta  0.500  0.500  0.000
Mo  0.000  0.500  0.500

---

3.
# LiTa2Mo

A relaxed structure of LiTa2Mo (PBE-GGA, Alexandria via LeMat-Bulk).

Output
- distance to the lowest polymorph of the same formula (eV/f.u.) = 0.29
- formation energy from the elements (kJ per mole of atoms) = 23.8

a = 2.705 Å, b = 4.548 Å, c = 5.529 Å
α = 90.00°, β = 98.12°, γ = 90.00°
Space group P2/m (No. 10)
Inequivalent atoms, fractional coordinates:
Li  0.000  0.000  0.000
Ta  0.251  0.500  0.741
Mo  0.500  0.000  0.500

---

4.
# LiTa3Mo

A relaxed structure of LiTa3Mo (PBE-GGA, Alexandria via LeMat-Bulk).

Output
- distance to the lowest polymorph of the same formula (eV/f.u.) = 0.81
- formation energy from the elements (kJ per mole of atoms) = 132.7

a = 4.875 Å, b = 4.875 Å, c = 4.875 Å
α = 90.00°, β = 90.00°, γ = 90.00°
Space group Pm-3m (No. 221)
Inequivalent atoms, fractional coordinates:
Li  0.000  0.000  0.000
Ta  0.000  0.500  0.500
Mo  0.500  0.500  0.500

---

Number 1: E_tot -68.73 eV/cell, DOS(E_F) 0.886 states/eV/atom. Number 2: E_tot -25.06 eV/cell, DOS(E_F) 0.704 states/eV/atom. Number 3: E_tot -35.46 eV/cell, DOS(E_F) 0.698 states/eV/atom. Number 4: E_tot -41.43 eV/cell, DOS(E_F) 1.220 states/eV/atom.